[1]
Tc2AgSbO GGA-PBE optimized geometry; density of states at the Fermi level = 1.08 states/eV per atom; energy relative to the elements, uncorrected = 2.243 eV/atom
1.0
5.179 0.000 0.000
0.000 5.179 0.000
0.000 0.000 4.966
Tc Ag Sb O
2 1 1 1
Cartesian
0.000 2.589 0.000
2.589 0.000 0.000
0.000 0.000 0.000
0.000 0.000 2.483
2.589 2.589 2.483

=====

[2]
Ce12Si6Tc GGA-PBE optimized geometry; density of states at the Fermi level = 2.34 states/eV per atom; energy relative to the elements, uncorrected = -0.327 eV/atom
1.0
5.713 3.298 4.074
-5.713 3.298 4.074
0.000 -6.597 4.074
Ce Si Tc
12 6 1
Cartesian
-3.570 -3.832 6.639
-5.103 1.176 5.582
-2.034 -0.519 4.382
1.533 -5.008 5.582
1.466 -1.502 4.382
-0.568 -2.021 7.839
0.568 2.021 4.382
-1.466 1.502 7.839
-1.533 5.008 6.639
2.034 0.519 7.839
5.103 -1.176 6.639
3.570 3.832 5.582
-0.937 -3.309 5.198
-3.334 -0.843 7.023
-2.397 2.465 5.198
2.397 -2.465 7.023
3.334 0.843 5.198
0.937 3.309 7.023
0.000 0.000 6.110